1.
10
Lattice="4.138 0.000 0.000 0.000 4.138 0.000 0.000 0.000 9.362" Properties=species:S:1:pos:R:3 comment="Pa2Be3Ge4Rh, relaxed, DFT PBE" ef_ev_per_fu=-3.60 pbc="T T T"
Pa 0.000 2.069 2.342
Pa 2.069 0.000 7.020
Be 0.000 0.000 0.000
Be 0.000 2.069 5.795
Be 2.069 0.000 3.568
Ge 0.000 0.000 4.681
Ge 0.000 2.069 8.011
Ge 2.069 0.000 1.351
Ge 2.069 2.069 4.681
Rh 2.069 2.069 0.000

***

2.
20
Lattice="9.744 0.000 0.000 0.000 9.744 0.000 0.000 0.000 3.494" Properties=species:S:1:pos:R:3 comment="Pa2BeGe2Ru5, relaxed, DFT PBE" ef_ev_per_fu=-3.09 pbc="T T T"
Pa 1.698 3.174 0.000
Pa 3.174 8.046 0.000
Pa 6.570 1.698 0.000
Pa 8.046 6.570 0.000
Be 0.000 0.000 0.000
Be 4.872 4.872 0.000
Ge 1.229 6.101 0.000
Ge 3.643 1.229 0.000
Ge 6.101 8.515 0.000
Ge 8.515 3.643 0.000
Ru 0.000 4.872 1.747
Ru 0.792 7.822 1.747
Ru 1.922 0.792 1.747
Ru 2.950 5.664 1.747
Ru 4.080 2.950 1.747
Ru 4.872 0.000 1.747
Ru 5.664 6.794 1.747
Ru 6.794 4.080 1.747
Ru 7.822 8.952 1.747
Ru 8.952 1.922 1.747

***

3.
10
Lattice="3.974 0.000 0.000 0.000 3.974 0.000 0.000 0.000 9.564" Properties=species:S:1:pos:R:3 comment="Pa2Be4Ge3Ru, relaxed, DFT PBE" ef_ev_per_fu=-2.94 pbc="T T T"
Pa 0.000 1.987 2.317
Pa 1.987 0.000 7.247
Be 0.000 0.000 4.782
Be 0.000 1.987 8.342
Be 1.987 0.000 1.222
Be 1.987 1.987 4.782
Ge 0.000 0.000 0.000
Ge 0.000 1.987 6.048
Ge 1.987 0.000 3.516
Ru 1.987 1.987 0.000

***

4.
6
Lattice="3.805 0.000 0.000 -1.902 3.295 0.000 0.000 0.000 7.502" Properties=species:S:1:pos:R:3 comment="PaTaBe2Ge2, relaxed, DFT PBE" ef_ev_per_fu=-1.81 pbc="T T T"
Pa 0.000 0.000 0.000
Ta 0.000 0.000 3.751
Be 0.000 2.197 2.132
Be 1.902 1.098 5.370
Ge 0.000 2.197 5.480
Ge 1.902 1.098 2.021

***

5.
6
Lattice="3.994 0.000 0.000 -1.997 3.459 0.000 0.000 0.000 6.550" Properties=species:S:1:pos:R:3 comment="PaBe2TcGe2, relaxed, DFT PBE" ef_ev_per_fu=-1.51 pbc="T T T"
Pa 0.000 0.000 0.000
Be 0.000 2.306 2.160
Be 1.997 1.153 4.390
Tc 0.000 0.000 3.275
Ge 0.000 2.306 4.684
Ge 1.997 1.153 1.866

***

6.
8
Lattice="-2.546 2.546 7.142 2.546 -2.546 7.142 2.546 2.546 -7.142" Properties=species:S:1:pos:R:3 comment="BeGe2Pb, relaxed, DFT PBE" ef_ev_per_fu=1.31 pbc="T T T"
Be 0.000 0.000 0.000
Be 0.000 2.546 3.571
Ge 0.614 1.273 1.786
Ge -1.273 1.932 5.357
Ge -0.614 3.819 1.786
Ge 1.273 3.160 5.357
Pb 2.546 0.000 3.571
Pb 0.000 0.000 7.142

***

7.
5
Lattice="5.549 0.000 0.000 0.000 5.549 0.000 0.000 0.000 5.549" Properties=species:S:1:pos:R:3 comment="BeGePb3, relaxed, DFT PBE" ef_ev_per_fu=4.96 pbc="T T T"
Be 0.000 0.000 0.000
Ge 2.774 2.774 2.774
Pb 0.000 2.774 2.774
Pb 2.774 0.000 2.774
Pb 2.774 2.774 0.000

***

8.
5
Lattice="4.679 0.000 0.000 0.000 4.679 0.000 0.000 0.000 4.679" Properties=species:S:1:pos:R:3 comment="BeGe3Pb, relaxed, DFT PBE" ef_ev_per_fu=2.06 pbc="T T T"
Be 0.000 0.000 0.000
Ge 0.000 0.000 2.340
Ge 0.000 2.340 0.000
Ge 2.340 0.000 0.000
Pb 2.340 2.340 2.340

***

9.
4
Lattice="0.000 3.255 3.255 3.255 0.000 3.255 3.255 3.255 0.000" Properties=species:S:1:pos:R:3 comment="Be2GePb, relaxed, DFT PBE" ef_ev_per_fu=3.09 pbc="T T T"
Be 1.627 1.627 1.627
Be 4.882 4.882 4.882
Ge 0.000 0.000 0.000
Pb 3.255 3.255 3.255

***

10.
8
Lattice="-3.401 3.401 3.229 3.401 -3.401 3.229 3.401 3.401 -3.229" Properties=species:S:1:pos:R:3 comment="Be2GePb, relaxed, DFT PBE" ef_ev_per_fu=2.61 pbc="T T T"
Be 5.102 1.252 -0.807
Be 1.252 1.701 0.807
Be -1.701 2.149 2.422
Be 2.149 1.701 4.037
Ge 0.000 0.000 0.000
Ge 0.000 3.401 1.615
Pb 3.401 0.000 1.615
Pb 0.000 0.000 3.229

***

11.
5
Lattice="4.667 0.000 0.000 0.000 4.667 0.000 0.000 0.000 4.667" Properties=species:S:1:pos:R:3 comment="Be3GePb, relaxed, DFT PBE" ef_ev_per_fu=7.24 pbc="T T T"
Be 0.000 0.000 2.334
Be 0.000 2.334 0.000
Be 2.334 0.000 0.000
Ge 2.334 2.334 2.334
Pb 0.000 0.000 0.000

***

12.
5
Lattice="4.420 0.000 0.000 0.000 4.420 0.000 0.000 0.000 4.420" Properties=species:S:1:pos:R:3 comment="Be3GePb, relaxed, DFT PBE" ef_ev_per_fu=4.19 pbc="T T T"
Be 0.000 0.000 2.210
Be 0.000 2.210 0.000
Be 2.210 0.000 0.000
Ge 0.000 0.000 0.000
Pb 2.210 2.210 2.210

***

13.
5
Lattice="5.427 0.000 0.000 0.000 5.427 0.000 0.000 0.000 5.427" Properties=species:S:1:pos:R:3 comment="BeGe3Pb, relaxed, DFT PBE" ef_ev_per_fu=7.85 pbc="T T T"
Be 0.000 0.000 0.000
Ge 0.000 2.713 2.713
Ge 2.713 0.000 2.713
Ge 2.713 2.713 0.000
Pb 2.713 2.713 2.713

***

14.
4
Lattice="0.000 3.464 3.464 3.464 0.000 3.464 3.464 3.464 0.000" Properties=species:S:1:pos:R:3 comment="BeGe2Pb, relaxed, DFT PBE" ef_ev_per_fu=2.69 pbc="T T T"
Be 0.000 0.000 0.000
Ge 1.732 1.732 1.732
Ge 5.196 5.196 5.196
Pb 3.464 3.464 3.464

***

15.
20
Lattice="6.414 -5.974 0.000 6.414 5.974 0.000 -2.944 0.000 6.345" Properties=species:S:1:pos:R:3 comment="BeGe2PbS6, relaxed, DFT PBE" formation_energy_uncorrected_ev_per_atom=-0.3777 pbc="T T T"
Be 4.205 3.557 4.758
Be 5.678 -3.557 1.586
Ge 2.864 0.901 2.125
Ge 1.392 -0.901 5.297
Ge 8.491 0.901 1.047
Ge 7.019 -0.901 4.220
Pb 5.678 4.277 1.586
Pb 4.205 -4.277 4.758
S 0.801 0.895 1.212
S 3.460 2.891 2.911
S -0.671 -0.895 4.384
S 4.411 0.831 0.402
S 7.896 2.891 0.261
S 2.939 -0.831 3.575
S 6.944 0.831 2.770
S 1.988 -2.891 6.083
S 5.472 -0.831 5.942
S 10.554 0.895 1.961
S 6.423 -2.891 3.434
S 9.082 -0.895 5.133

***

16.
5
Lattice="4.657 0.000 0.000 0.000 4.657 0.000 0.000 0.000 5.496" Properties=species:S:1:pos:R:3 comment="SrBeGe2Pb, relaxed, DFT PBE" ef_ev_per_fu=0.89 pbc="T T T"
Sr 0.000 0.000 0.000
Be 0.000 0.000 2.748
Ge 0.000 2.328 2.748
Ge 2.328 0.000 2.748
Pb 2.328 2.328 0.000

***

17.
6
Lattice="2.032 1.173 5.912 -2.032 1.173 5.912 0.000 -2.347 5.912" Properties=species:S:1:pos:R:3 comment="BeGePd, relaxed, DFT PBE" ef_ev_per_fu=-0.67 pbc="T T T"
Be 0.000 0.000 0.000
Be 0.000 0.000 7.525
Ge 0.000 0.000 5.037
Ge 0.000 0.000 15.210
Pd 0.000 0.000 2.374
Pd 0.000 0.000 12.465

***

18.
11
Lattice="7.390 -2.031 0.000 7.390 2.031 0.000 -1.472 0.000 5.443" Properties=species:S:1:pos:R:3 comment="BeGe2Pd8, relaxed, DFT PBE" ef_ev_per_fu=-4.34 pbc="T T T"
Be 0.000 0.000 0.000
Ge 4.338 0.000 1.528
Ge 8.969 0.000 3.916
Pd 0.745 0.000 2.436
Pd 0.838 0.000 5.312
Pd 3.303 0.000 3.750
Pd 6.771 0.000 1.234
Pd 6.536 0.000 4.209
Pd 10.005 0.000 1.693
Pd 12.470 0.000 0.132
Pd 12.562 0.000 3.008

***

19.
6
Lattice="2.237 -4.647 0.000 2.237 4.647 0.000 -2.072 0.000 3.887" Properties=species:S:1:pos:R:3 comment="BeGePd, relaxed, DFT PBE" ef_ev_per_fu=-0.57 pbc="T T T"
Be 1.201 3.449 1.944
Be 2.237 -3.449 0.000
Ge 2.364 1.275 1.307
Ge 1.328 -1.275 3.250
Pd 0.125 0.995 2.551
Pd 1.161 -0.995 0.607

***

20.
8
Lattice="-3.222 3.222 2.592 3.222 -3.222 2.592 3.222 3.222 -2.592" Properties=species:S:1:pos:R:3 comment="Be2GePd, relaxed, DFT PBE" ef_ev_per_fu=1.05 pbc="T T T"
Be 1.611 1.600 -0.648
Be 1.622 -1.611 3.240
Be 1.611 1.622 1.944
Be 1.600 4.833 0.648
Ge 3.222 0.000 1.296
Ge 0.000 0.000 2.592
Pd 0.000 0.000 0.000
Pd 0.000 3.222 1.296

***

21.
6
Lattice="11.351 0.000 0.000 0.000 1.430 2.576 0.000 -1.430 2.576" Properties=species:S:1:pos:R:3 comment="BeGePd, relaxed, DFT PBE" ef_ev_per_fu=-0.22 pbc="T T T"
Be 1.671 0.000 0.000
Be 9.680 0.000 0.000
Ge 3.590 0.000 3.318
Ge 7.760 0.000 3.318
Pd 0.000 0.000 1.685
Pd 5.675 0.000 1.624

***

22.
6
Lattice="4.414 0.000 0.000 0.000 4.375 0.000 -1.878 0.000 4.344" Properties=species:S:1:pos:R:3 comment="BeGePd, relaxed, DFT PBE" ef_ev_per_fu=-0.61 pbc="T T T"
Be -0.350 1.094 2.026
Be 2.886 3.281 2.318
Ge 1.402 1.094 0.167
Ge 1.134 3.281 4.177
Pd 0.625 3.281 1.470
Pd 1.911 1.094 2.875

***

23.
5
Lattice="4.580 0.000 0.000 0.000 4.580 0.000 0.000 0.000 4.580" Properties=species:S:1:pos:R:3 comment="BeGePd3, relaxed, DFT PBE" ef_ev_per_fu=2.52 pbc="T T T"
Be 0.000 0.000 0.000
Ge 2.290 2.290 2.290
Pd 0.000 2.290 2.290
Pd 2.290 0.000 2.290
Pd 2.290 2.290 0.000

***

24.
6
Lattice="4.610 0.000 0.000 0.000 2.268 3.845 0.000 -2.268 3.845" Properties=species:S:1:pos:R:3 comment="BeGePd, relaxed, DFT PBE" ef_ev_per_fu=-0.65 pbc="T T T"
Be 1.037 -1.134 3.845
Be 3.572 1.134 3.845
Ge 0.982 1.134 5.230
Ge 3.628 -1.134 5.230
Pd 1.369 1.134 2.733
Pd 3.241 -1.134 2.733